Entry 1:
Density functional theory data (GGA-PBE) for a relaxed Cu2SiRh crystal.

Calculated values
Size of the total moment, Bohr magnetons per cell: 0.0
E_form (uncorrected), eV/atom: -0.25

Unit cell a=5.856 b=5.856 c=5.856 alpha=90.00 beta=90.00 gamma=90.00
Space group F-43m (No. 216)
One atom of each set of equivalent atoms:
Cu (0.000, 0.000, 0.000)
Cu (0.250, 0.250, 0.250)
Si (0.250, 0.250, 0.750)
Rh (0.000, 0.000, 0.500)

***

Entry 2:
Density functional theory data (GGA-PBE) for a relaxed Tb5Er2Sc crystal.

Calculated values
E above lowest polymorph, eV per atom: 0.000
Size of the total moment, Bohr magnetons per cell: 0.0
Formation energy, kJ per mole of atoms: 2.91

Unit cell a=7.015 b=7.023 c=9.905 alpha=90.00 beta=90.00 gamma=90.00
Space group Immm (No. 71)
One atom of each set of equivalent atoms:
Tb (0.000, 0.000, 0.000)
Tb (0.250, 0.250, 0.250)
Er (0.000, 0.000, 0.500)
Er (0.000, 0.500, 0.000)
Sc (0.000, 0.500, 0.500)